Below is a relaxed structure of KSe2IBr, with properties calculated at the PBEsol level.

The space group is P4/mmm (No. 123) and the conventional cell measures 5.3814, 5.3814 and 5.8353 Å, with angles of 90.00, 90.00 and 90.00 degrees. The distinct sites, in fractional coordinates, are K at (0.0000, 0.0000, 0.0000), Se at (0.0000, 0.5000, 0.5000), I at (0.5000, 0.5000, 0.5000) and Br at (0.5000, 0.5000, 0.0000).

Its crystal system is tetragonal. As for the density of states at the Fermi level: 0.4893 states/eV per atom. The value obtained for the formation energy without anion corrections is -0.156 eV/atom.